A plane-wave DFT calculation with PBE was carried out for a geometry-optimized ScSi2Ni2 structure.

a b c (Å): 3.8721 3.8721 5.4472
angles (deg): 69.18 69.18 90.00
Last column: nearest neighbours and their distance in Å.
Element x y z (fractional)
Sc 0.0000 0.0000 0.0000  8 Ni 2.98, 8 Si 3.05
Si 0.7500 0.2500 0.5000  4 Ni 2.27
Si 0.2500 0.7500 0.5000  4 Ni 2.27
Ni 0.6239 0.6239 0.7523  4 Si 2.27, 1 Ni 2.33
Ni 0.3761 0.3761 0.2477  4 Si 2.27, 1 Ni 2.33

## Properties
Energy relative to the elements, uncorrected, eV per formula unit: -3.15
Space-group type: I4/mmm (139)
DOS(E_F), states/eV per atom: 0.524
Total magnetic moment, μB/f.u.: 0.0